Computed, not measured: DyYInFe2 after structural relaxation at the PBE level of DFT.

Computed properties:
**Total magnetization**: 1.468 μB/cell
**Space group**: Amm2, No. 38
**Raw total energy**: -6.29 eV/atom

Cell lengths 4.0052, 7.0975, 7.0975 Å; angles 30.87, 90.00, 90.00 degrees
Site moments in Bohr magnetons follow the coordinates.
Positions (direct):
Fe 0.0000 0.7917 0.7917  0.92
Fe 0.0000 0.2099 0.2099  0.89
In 0.0000 0.9997 0.9997  -0.01
Y 0.5000 0.6370 0.6370  -0.10
Dy 0.5000 0.3616 0.3616  -0.14



Computed, not measured: DyY2In3Fe3 after structural relaxation at the PBE level of DFT.

Computed properties:
**Total magnetization**: 5.546 μB/cell
**Space group**: Amm2, No. 38
**Raw total energy**: -5.72 eV/atom

Cell lengths 3.8763, 7.4629, 7.4629 Å; angles 119.46, 90.00, 90.00 degrees
Site moments in Bohr magnetons follow the coordinates.
Positions (direct):
Dy 0.0000 0.4107 0.4107  -0.22
Fe 0.0000 0.0007 0.0007  2.09
Fe 0.5000 0.6646 0.3332  2.19
Fe 0.5000 0.3332 0.6646  2.19
In 0.5000 0.2578 0.0002  -0.04
In 0.5000 0.0002 0.2578  -0.03
In 0.5000 0.7433 0.7433  -0.03
Y 0.0000 0.9987 0.5910  -0.19
Y 0.0000 0.5910 0.9987  -0.18



Computed, not measured: Tb2DyFeSn3Ir2 after structural relaxation at the PBE level of DFT.

Computed properties:
**Total magnetization**: 1.670 μB/cell
**Space group**: Amm2, No. 38
**Raw total energy**: -6.45 eV/atom

Cell lengths 3.7620, 7.6173, 7.6173 Å; angles 119.95, 90.00, 90.00 degrees
Site moments in Bohr magnetons follow the coordinates.
Positions (direct):
Dy 0.0000 0.5921 0.5921  0.01
Fe 0.0000 0.9997 0.9997  1.69
Ir 0.5000 0.6664 0.3341  0.00
Ir 0.5000 0.3341 0.6664  0.00
Sn 0.5000 0.2575 0.2575  -0.02
Sn 0.5000 0.9996 0.7427  -0.02
Sn 0.5000 0.7427 0.9996  -0.02
Tb 0.0000 0.4079 0.0000  0.01
Tb 0.0000 0.0000 0.4079  0.01



Computed, not measured: TbDy2FeSn3Ir2 after structural relaxation at the PBE level of DFT.

Computed properties:
**Total magnetization**: 1.662 μB/cell
**Space group**: Amm2, No. 38
**Raw total energy**: -6.45 eV/atom

Cell lengths 3.7563, 7.6147, 7.6147 Å; angles 120.05, 90.00, 90.00 degrees
Site moments in Bohr magnetons follow the coordinates.
Positions (direct):
Dy 0.0000 0.4078 0.0000  0.01
Dy 0.0000 0.0000 0.4078  0.01
Fe 0.0000 0.0003 0.0003  1.68
Ir 0.5000 0.6669 0.3326  0.00
Ir 0.5000 0.3326 0.6669  0.00
Sn 0.5000 0.7426 0.0004  -0.02
Sn 0.5000 0.2572 0.2572  -0.02
Sn 0.5000 0.0004 0.7426  -0.02
Tb 0.0000 0.5921 0.5921  0.01



Computed, not measured: DyTm2FeSn3Ir2 after structural relaxation at the PBE level of DFT.

Computed properties:
**Total magnetization**: 1.629 μB/cell
**Space group**: Amm2, No. 38
**Raw total energy**: -6.43 eV/atom

Cell lengths 3.7151, 7.5865, 7.5865 Å; angles 120.14, 90.00, 90.00 degrees
Site moments in Bohr magnetons follow the coordinates.
Positions (direct):
Dy 0.0000 0.4067 0.4067  0.01
Fe 0.0000 0.9988 0.9988  1.60
Ir 0.5000 0.6692 0.3324  0.00
Ir 0.5000 0.3324 0.6692  0.00
Sn 0.5000 0.9990 0.2571  -0.02
Sn 0.5000 0.7431 0.7431  -0.02
Sn 0.5000 0.2571 0.9990  -0.01
Tm 0.0000 0.5936 0.0000  0.02
Tm 0.0000 0.0000 0.5936  0.02



Computed, not measured: KDyFe after structural relaxation at the PBE level of DFT.

Computed properties:
**Polymorph energy (0 for the lowest one)**: 0.0000 eV/atom
**Total magnetization**: 2.063 μB/cell
**Space group**: F-43m, No. 216

Cell lengths 5.0979, 5.0979, 5.0979 Å; angles 60.00, 60.00, 60.00 degrees
Site moments in Bohr magnetons follow the coordinates.
Positions (direct):
Dy 0.0000 0.0000 0.0000  -0.39
Fe 0.2500 0.2500 0.2500  2.69
K 0.7500 0.7500 0.7500  -0.04



Computed, not measured: KDyFeS3 after structural relaxation at the PBE level of DFT.

Computed properties:
**Polymorph energy (0 for the lowest one)**: 0.0000 eV/atom
**Total magnetization**: 8.007 μB/cell
**Space group**: P2_1/m, No. 11

Cell lengths 8.4401, 3.9465, 9.6265 Å; angles 90.00, 107.80, 90.00 degrees
Site moments in Bohr magnetons follow the coordinates.
Positions (direct):
Dy 0.1732 0.2500 0.1448  0.04
Dy 0.8268 0.7500 0.8552  0.04
Fe 0.4254 0.7500 0.4079  3.24
Fe 0.5746 0.2500 0.5921  3.24
K 0.7280 0.2500 0.2622  0.00
K 0.2720 0.7500 0.7378  0.00
S 0.9522 0.7500 0.1479  0.02
S 0.4062 0.7500 0.1669  0.11
S 0.2915 0.2500 0.4556  0.19
S 0.7085 0.7500 0.5444  0.19
S 0.5938 0.2500 0.8331  0.11
S 0.0478 0.2500 0.8521  0.02



Computed, not measured: KDyFeS3 after structural relaxation at the PBE level of DFT.

Computed properties:
**Polymorph energy (0 for the lowest one)**: 0.0090 eV/atom
**Total magnetization**: 7.977 μB/cell
**Space group**: Cmcm, No. 63

Cell lengths 3.9678, 7.3648, 10.4191 Å; angles 90.00, 90.00, 74.37 degrees
Site moments in Bohr magnetons follow the coordinates.
Positions (direct):
Dy 0.0000 0.0000 0.0000  -0.01
Dy 0.0000 0.0000 0.5000  -0.01
Fe 0.5293 0.9413 0.2500  3.22
Fe 0.4707 0.0587 0.7500  3.22
K 0.2548 0.4903 0.2500  0.00
K 0.7452 0.5097 0.7500  0.00
S 0.6222 0.7557 0.0706  0.12
S 0.9365 0.1270 0.2500  0.13
S 0.6222 0.7557 0.4294  0.12
S 0.3778 0.2443 0.5706  0.12
S 0.0635 0.8730 0.7500  0.13
S 0.3778 0.2443 0.9294  0.12



Computed, not measured: KDyFeSe3 after structural relaxation at the PBE level of DFT.

Computed properties:
**Total magnetization**: 7.834 μB/cell
**Space group**: P2_1/m, No. 11
**Raw total energy**: -5.29 eV/atom

Cell lengths 8.6878, 4.0676, 10.2826 Å; angles 90.00, 109.47, 90.00 degrees
Site moments in Bohr magnetons follow the coordinates.
Positions (direct):
Dy 0.6774 0.2500 0.1439  0.05
Dy 0.3226 0.7500 0.8561  0.05
Fe 0.9295 0.7500 0.4130  3.21
Fe 0.0705 0.2500 0.5870  3.21
K 0.2448 0.2500 0.2784  0.00
K 0.7552 0.7500 0.7216  0.00
Se 0.4485 0.7500 0.1464  0.03
Se 0.9193 0.7500 0.1747  0.11
Se 0.7760 0.2500 0.4498  0.16
Se 0.2240 0.7500 0.5502  0.16
Se 0.0807 0.2500 0.8253  0.11
Se 0.5515 0.2500 0.8536  0.03



Computed, not measured: LaDyFe after structural relaxation at the PBE level of DFT.

Computed properties:
**Polymorph energy (0 for the lowest one)**: 0.0000 eV/atom
**DFT formation energy**: 20.1 kJ per mole of atoms
**Total magnetization**: 0.140 μB/cell
**Space group**: F-43m, No. 216

Cell lengths 4.7623, 4.7623, 4.7623 Å; angles 60.00, 60.00, 60.00 degrees
Site moments in Bohr magnetons follow the coordinates.
Positions (direct):
Dy 0.2500 0.2500 0.2500  -0.07
Fe 0.0000 0.0000 0.0000  0.29
La 0.7500 0.7500 0.7500  -0.04



Computed, not measured: LiDyFe after structural relaxation at the PBE level of DFT.

Computed properties:
**Total magnetization**: 1.788 μB/cell
**Space group**: F-43m, No. 216
**Raw total energy**: -3.98 eV/atom

Cell lengths 4.4628, 4.4628, 4.4628 Å; angles 60.00, 60.00, 60.00 degrees
Site moments in Bohr magnetons follow the coordinates.
Positions (direct):
Dy 0.0000 0.0000 0.0000  -0.28
Fe 0.2500 0.2500 0.2500  2.23
Li 0.7500 0.7500 0.7500  -0.07



Computed, not measured: LiDyFeS3 after structural relaxation at the PBE level of DFT.

Computed properties:
**Polymorph energy (0 for the lowest one)**: 0.0000 eV/atom
**Total magnetization**: 7.467 μB/cell
**Space group**: P2_1/m, No. 11

Cell lengths 7.4482, 3.7952, 9.3616 Å; angles 90.00, 101.31, 90.00 degrees
Site moments in Bohr magnetons follow the coordinates.
Positions (direct):
Dy 0.1609 0.2500 0.1585  0.04
Dy 0.8391 0.7500 0.8415  0.04
Fe 0.4353 0.7500 0.4074  3.09
Fe 0.5647 0.2500 0.5926  3.09
Li 0.6643 0.2500 0.1268  0.01
Li 0.3357 0.7500 0.8732  0.01
S 0.9011 0.7500 0.1407  0.02
S 0.4282 0.7500 0.1586  0.08
S 0.2716 0.2500 0.4572  0.17
S 0.7284 0.7500 0.5428  0.17
S 0.5718 0.2500 0.8414  0.08
S 0.0989 0.2500 0.8593  0.02